VASP calculation (PBE) on an optimized crystal structure of Ac3Te12Pd5.

abc: 15.006 15.006 15.006
angles: 109.47 109.47 109.47
Fractional coordinates of all 80 atoms:
1 Ac 0.125 0.250 0.375
2 Ac 0.125 0.375 0.750
3 Ac 0.250 0.375 0.125
4 Ac 0.250 0.875 0.625
5 Ac 0.375 0.125 0.250
6 Ac 0.375 0.750 0.125
7 Ac 0.625 0.250 0.875
8 Ac 0.625 0.875 0.750
9 Ac 0.750 0.125 0.375
10 Ac 0.750 0.625 0.875
11 Ac 0.875 0.625 0.250
12 Ac 0.875 0.750 0.625
13 Te 0.026 0.200 0.115
14 Te 0.026 0.326 0.911
15 Te 0.085 0.700 0.674
16 Te 0.085 0.885 0.411
17 Te 0.089 0.615 0.415
18 Te 0.089 0.974 0.674
19 Te 0.115 0.026 0.200
20 Te 0.115 0.589 0.915
21 Te 0.174 0.200 0.585
22 Te 0.174 0.474 0.589
23 Te 0.200 0.115 0.026
24 Te 0.200 0.585 0.174
25 Te 0.300 0.326 0.915
26 Te 0.300 0.474 0.385
27 Te 0.326 0.911 0.026
28 Te 0.326 0.915 0.300
29 Te 0.385 0.300 0.474
30 Te 0.385 0.585 0.911
31 Te 0.411 0.085 0.885
32 Te 0.411 0.826 0.526
33 Te 0.415 0.089 0.615
34 Te 0.415 0.826 0.800
35 Te 0.474 0.385 0.300
36 Te 0.474 0.589 0.174
37 Te 0.526 0.411 0.826
38 Te 0.526 0.615 0.700
39 Te 0.585 0.174 0.200
40 Te 0.585 0.911 0.385
41 Te 0.589 0.174 0.474
42 Te 0.589 0.915 0.115
43 Te 0.615 0.415 0.089
44 Te 0.615 0.700 0.526
45 Te 0.674 0.085 0.700
46 Te 0.674 0.089 0.974
47 Te 0.700 0.526 0.615
48 Te 0.700 0.674 0.085
49 Te 0.800 0.415 0.826
50 Te 0.800 0.885 0.974
51 Te 0.826 0.526 0.411
52 Te 0.826 0.800 0.415
53 Te 0.885 0.411 0.085
54 Te 0.885 0.974 0.800
55 Te 0.911 0.026 0.326
56 Te 0.911 0.385 0.585
57 Te 0.915 0.115 0.589
58 Te 0.915 0.300 0.326
59 Te 0.974 0.674 0.089
60 Te 0.974 0.800 0.885
61 Pd 0.000 0.000 0.000
62 Pd 0.000 0.000 0.500
63 Pd 0.000 0.500 0.000
64 Pd 0.000 0.500 0.500
65 Pd 0.125 0.750 0.875
66 Pd 0.125 0.875 0.250
67 Pd 0.250 0.125 0.875
68 Pd 0.250 0.625 0.375
69 Pd 0.375 0.250 0.625
70 Pd 0.375 0.625 0.750
71 Pd 0.500 0.000 0.000
72 Pd 0.500 0.000 0.500
73 Pd 0.500 0.500 0.000
74 Pd 0.500 0.500 0.500
75 Pd 0.625 0.375 0.250
76 Pd 0.625 0.750 0.375
77 Pd 0.750 0.375 0.625
78 Pd 0.750 0.875 0.125
79 Pd 0.875 0.125 0.750
80 Pd 0.875 0.250 0.125

Output
Total magnetic moment   0.00 μB per formula unit
E_form (uncorrected)   -0.6257 eV/atom
Calculated total energy   -4.425 eV per atom

=====

VASP calculation (PBE) on an optimized crystal structure of AcTePd.

abc: 13.687 4.411 5.694
angles: 90.00 100.31 90.00
Fractional coordinates of all 12 atoms:
1 Ac 0.124 0.000 0.301
2 Ac 0.376 0.500 0.699
3 Ac 0.624 0.500 0.301
4 Ac 0.876 0.000 0.699
5 Te 0.100 0.500 0.769
6 Te 0.400 0.000 0.231
7 Te 0.600 0.000 0.769
8 Te 0.900 0.500 0.231
9 Pd 0.239 0.000 0.836
10 Pd 0.261 0.500 0.164
11 Pd 0.739 0.500 0.836
12 Pd 0.761 0.000 0.164

Output
Total magnetic moment   0.00 μB per formula unit
Excess energy over the best structure of this formula in the dataset   132.1 meV per atom
E_form (uncorrected)   -1.0011 eV/atom
Calculated total energy   -5.149 eV per atom

=====

VASP calculation (PBE) on an optimized crystal structure of AcTe2Pd.

abc: 4.996 4.996 15.963
angles: 90.00 90.00 120.00
Fractional coordinates of all 12 atoms:
1 Ac 0.000 0.000 0.000
2 Ac 0.333 0.667 0.667
3 Ac 0.667 0.333 0.333
4 Te 0.000 0.000 0.227
5 Te 0.000 0.000 0.773
6 Te 0.333 0.667 0.440
7 Te 0.333 0.667 0.893
8 Te 0.667 0.333 0.107
9 Te 0.667 0.333 0.560
10 Pd 0.000 0.000 0.500
11 Pd 0.333 0.667 0.167
12 Pd 0.667 0.333 0.833

Output
Total magnetic moment   0.00 μB per formula unit
Excess energy over the best structure of this formula in the dataset   0.0 meV per atom
E_form (uncorrected)   -0.8304 eV/atom
Calculated total energy   -4.727 eV per atom

=====

VASP calculation (PBE) on an optimized crystal structure of Ac2Te3Pd.

abc: 4.414 5.109 18.197
angles: 90.00 90.00 90.00
Fractional coordinates of all 12 atoms:
1 Ac 0.000 0.000 0.136
2 Ac 0.000 0.000 0.864
3 Ac 0.500 0.500 0.364
4 Ac 0.500 0.500 0.636
5 Te 0.000 0.000 0.324
6 Te 0.000 0.000 0.676
7 Te 0.000 0.500 0.500
8 Te 0.500 0.000 0.000
9 Te 0.500 0.500 0.176
10 Te 0.500 0.500 0.824
11 Pd 0.000 0.000 0.500
12 Pd 0.500 0.500 0.000

Output
Total magnetic moment   0.00 μB per formula unit
E_form (uncorrected)   -1.2177 eV/atom
Calculated total energy   -5.023 eV per atom

=====

VASP calculation (PBE) on an optimized crystal structure of Ac4Te3Pd.

abc: 9.632 13.378 4.550
angles: 90.00 90.00 90.00
Fractional coordinates of all 16 atoms:
1 Ac 0.000 0.243 0.000
2 Ac 0.000 0.757 0.000
3 Ac 0.221 0.000 0.500
4 Ac 0.279 0.500 0.500
5 Ac 0.500 0.257 0.000
6 Ac 0.500 0.743 0.000
7 Ac 0.721 0.500 0.500
8 Ac 0.779 0.000 0.500
9 Te 0.000 0.500 0.000
10 Te 0.250 0.250 0.500
11 Te 0.250 0.750 0.500
12 Te 0.500 0.000 0.000
13 Te 0.750 0.250 0.500
14 Te 0.750 0.750 0.500
15 Pd 0.000 0.000 0.000
16 Pd 0.500 0.500 0.000

Output
Total magnetic moment   0.00 μB per formula unit
E_form (uncorrected)   -1.2955 eV/atom
Calculated total energy   -5.177 eV per atom

=====

VASP calculation (PBE) on an optimized crystal structure of AcTePd2.

abc: 7.221 7.221 7.221
angles: 90.00 90.00 90.00
Fractional coordinates of all 16 atoms:
1 Ac 0.000 0.000 0.000
2 Ac 0.000 0.500 0.500
3 Ac 0.500 0.000 0.500
4 Ac 0.500 0.500 0.000
5 Te 0.000 0.000 0.500
6 Te 0.000 0.500 0.000
7 Te 0.500 0.000 0.000
8 Te 0.500 0.500 0.500
9 Pd 0.250 0.250 0.250
10 Pd 0.250 0.250 0.750
11 Pd 0.250 0.750 0.250
12 Pd 0.250 0.750 0.750
13 Pd 0.750 0.250 0.250
14 Pd 0.750 0.250 0.750
15 Pd 0.750 0.750 0.250
16 Pd 0.750 0.750 0.750

Output
Total magnetic moment   0.00 μB per formula unit
Excess energy over the best structure of this formula in the dataset   0.0 meV per atom
E_form (uncorrected)   -0.7044 eV/atom
Calculated total energy   -5.113 eV per atom

=====

Please write out number 3 again, unchanged.
VASP calculation (PBE) on an optimized crystal structure of AcTe2Pd.

abc: 4.996 4.996 15.963
angles: 90.00 90.00 120.00
Fractional coordinates of all 12 atoms:
1 Ac 0.000 0.000 0.000
2 Ac 0.333 0.667 0.667
3 Ac 0.667 0.333 0.333
4 Te 0.000 0.000 0.227
5 Te 0.000 0.000 0.773
6 Te 0.333 0.667 0.440
7 Te 0.333 0.667 0.893
8 Te 0.667 0.333 0.107
9 Te 0.667 0.333 0.560
10 Pd 0.000 0.000 0.500
11 Pd 0.333 0.667 0.167
12 Pd 0.667 0.333 0.833

Output
Total magnetic moment   0.00 μB per formula unit
Excess energy over the best structure of this formula in the dataset   0.0 meV per atom
E_form (uncorrected)   -0.8304 eV/atom
Calculated total energy   -4.727 eV per atom